The following is a DFT calculation (PBE) of NbF after structural relaxation.

```
12
Lattice="-3.7938 7.1700 1.9460 -3.8589 -7.2672 1.3731 1.1349 -0.1088 2.6134" Properties=species:S:1:pos:R:3 pbc="T T T"
Nb -2.0262 2.1800 1.7483
F -0.1248 -1.7677 2.3136
F -3.8465 -5.6092 3.7698
F -6.3930 1.5617 3.6188
F -2.6713 5.4032 2.1627
Nb -2.0921 -1.1890 3.1920
Nb -4.1433 3.8282 2.7363
Nb -4.4257 0.9830 2.7405
F -4.9868 -0.2324 4.4889
F -1.5310 0.0263 1.4436
Nb -2.3745 -4.0342 3.1962
Nb -4.4916 -2.3860 4.1841
```

Calculated values
* excess energy over the best structure of this formula in the dataset: 265 meV/atom
* raw formation energy: -1.37 eV per atom

=====

The following is a DFT calculation (PBE) of NaBeAl2Si after structural relaxation.

```
5
Lattice="-4.5596 0.0945 -0.5227 0.4438 -1.5188 -4.1461 -0.2672 -4.3122 1.5510" Properties=species:S:1:pos:R:3 pbc="T T T"
Si 0.2219 -0.7594 -2.0731
Al -0.1336 -2.1561 0.7755
Al -2.2798 0.0473 -0.2614
Be 0.0000 0.0000 0.0000
Na -2.1915 -2.8682 -1.5589
```

Calculated values
* raw formation energy: 0.45 eV per atom

=====

The following is a DFT calculation (PBE) of CeBeH after structural relaxation.

```
6
Lattice="-0.5263 -3.0504 1.6382 1.6511 -1.9811 -3.1586 5.5709 1.9547 1.6860" Properties=species:S:1:pos:R:3 pbc="T T T"
Ce 4.7296 -2.7072 0.2222
Ce 1.9660 -0.3696 -0.0566
Be 1.5191 -2.9670 -1.2931
H 1.8092 -1.4396 -2.0995
Be 5.1765 -0.1098 1.4587
H 4.8864 -1.6372 2.2651
```

Calculated values
* excess energy over the best structure of this formula in the dataset: 0 meV/atom

=====

The following is a DFT calculation (PBE) of Mg2GaAu after structural relaxation.

```
4
Lattice="3.4384 0.0000 0.0000 0.0000 3.4384 0.0000 0.0000 0.0000 6.2769" Properties=species:S:1:pos:R:3 pbc="T T T"
Mg 0.0000 0.0000 4.7565
Au 1.7192 1.7192 0.0000
Ga 1.7192 1.7192 3.1384
Mg 0.0000 0.0000 1.5204
```

Calculated values
* uncorrected energy: -11.0 eV per cell

=====

The following is a DFT calculation (PBE) of BaCaAc2 after structural relaxation.

```
4
Lattice="-1.4794 -3.6440 0.3772 -1.0101 -2.0644 -3.2136 12.2858 -7.2957 -1.6037" Properties=species:S:1:pos:R:3 pbc="T T T"
Ba 0.0000 0.0000 0.0000
Ac 8.7032 -5.8226 -1.4239
Ca 4.8982 -6.5020 -2.2200
Ac 1.0931 -7.1814 -3.0162
```

Calculated values
* excess energy over the best structure of this formula in the dataset: 153 meV/atom

=====

The following is a DFT calculation (PBE) of MnFeCl3 after structural relaxation.

```
5
Lattice="-3.4729 1.2772 -3.1393 0.9266 -3.9657 -2.6385 -3.2600 -2.4878 2.5943" Properties=species:S:1:pos:R:3 pbc="T T T"
Cl -1.7364 0.6386 -1.5697
Fe 0.0000 0.0000 0.0000
Cl -1.6300 -1.2439 1.2971
Cl 0.4633 -1.9829 -1.3193
Mn -2.9031 -2.5882 -1.5918
```

Calculated values
* excess energy over the best structure of this formula in the dataset: 0 meV/atom
* raw formation energy: -0.13 eV per atom

=====

Calculated total magnetic moment (μB/atom), listed in the same order as above: 0.00, 0.00, 0.28, 0.00, 0.00, 1.92
Calculated theoretical density (g/cm³), listed in the same order as above: 6.5, 2.0, 5.9, 7.1, 5.5, 3.2